VASP calculation (PBEsol) on a relaxed structure of LuAg3. Values from VASP.

- Symmetry: Fm-3m, No. 225
- Energy: -3.935 eV per atom

```
&SYSTEM
  ibrav = 0, nat = 4, ntyp = 2
/
ATOMIC_SPECIES
Lu 174.97 Lu.upf
Ag 107.87 Ag.upf
CELL_PARAMETERS angstrom
0.000 3.342 3.342
3.342 0.000 3.342
3.342 3.342 0.000
ATOMIC_POSITIONS crystal
Lu 0.000 0.000 0.000
Ag 0.250 0.250 0.250
Ag 0.500 0.500 0.500
Ag 0.750 0.750 0.750
```

VASP calculation (PBEsol) on a relaxed structure of ErMnFeO5. Values from VASP.

- Symmetry: Pbam, No. 55
- Formation energy without anion corrections: -2234.1 meV/atom

```
&SYSTEM
  ibrav = 0, nat = 32, ntyp = 4
/
ATOMIC_SPECIES
Er 167.26 Er.upf
Mn 54.94 Mn.upf
Fe 55.84 Fe.upf
O 16.00 O.upf
CELL_PARAMETERS angstrom
7.153 0.000 0.000
0.000 8.420 0.000
0.000 0.000 5.617
ATOMIC_POSITIONS crystal
Er 0.134 0.169 0.000
Er 0.366 0.669 0.000
Er 0.634 0.331 0.000
Er 0.866 0.831 0.000
Mn 0.000 0.500 0.251
Mn 0.000 0.500 0.749
Mn 0.500 0.000 0.251
Mn 0.500 0.000 0.749
Fe 0.108 0.853 0.500
Fe 0.392 0.353 0.500
Fe 0.608 0.647 0.500
Fe 0.892 0.147 0.500
O 0.000 0.000 0.264
O 0.000 0.000 0.736
O 0.103 0.705 0.240
O 0.103 0.705 0.760
O 0.153 0.434 0.500
O 0.165 0.443 0.000
O 0.335 0.943 0.000
O 0.347 0.934 0.500
O 0.397 0.205 0.240
O 0.397 0.205 0.760
O 0.500 0.500 0.264
O 0.500 0.500 0.736
O 0.603 0.795 0.240
O 0.603 0.795 0.760
O 0.653 0.066 0.500
O 0.665 0.057 0.000
O 0.835 0.557 0.000
O 0.847 0.566 0.500
O 0.897 0.295 0.240
O 0.897 0.295 0.760
```

VASP calculation (PBEsol) on a relaxed structure of CrReW2. Values from VASP.

- Symmetry: Imm2, No. 44
- Energy above the lowest structure with this stoichiometry: 33 meV per atom

```
&SYSTEM
  ibrav = 0, nat = 4, ntyp = 3
/
ATOMIC_SPECIES
Cr 52.00 Cr.upf
Re 186.21 Re.upf
W 183.84 W.upf
CELL_PARAMETERS angstrom
-1.534 2.170 4.327
1.534 -2.170 4.327
1.534 2.170 -4.327
ATOMIC_POSITIONS crystal
Cr 0.000 0.000 0.000
Re 0.252 0.752 0.500
W 0.506 0.506 0.000
W 0.757 0.257 0.500
```

VASP calculation (PBEsol) on a relaxed structure of SiMo2CSe. Values from VASP.

- Symmetry: P4/mmm, No. 123
- Formation energy without anion corrections: 409.5 meV/atom

```
&SYSTEM
  ibrav = 0, nat = 5, ntyp = 4
/
ATOMIC_SPECIES
Si 28.09 Si.upf
Mo 95.94 Mo.upf
C 12.01 C.upf
Se 78.96 Se.upf
CELL_PARAMETERS angstrom
4.342 0.000 0.000
0.000 4.342 0.000
0.000 0.000 3.505
ATOMIC_POSITIONS crystal
Si 0.000 0.000 0.000
Mo 0.000 0.500 0.500
Mo 0.500 0.000 0.500
C 0.000 0.000 0.500
Se 0.500 0.500 0.000
```

VASP calculation (PBEsol) on a relaxed structure of Cu2TeAs. Values from VASP.

- Symmetry: I4/mmm, No. 139
- Formation energy without anion corrections: 365.6 meV/atom
- Energy above the lowest structure with this stoichiometry: 246 meV per atom

```
&SYSTEM
  ibrav = 0, nat = 4, ntyp = 3
/
ATOMIC_SPECIES
Cu 63.55 Cu.upf
Te 127.60 Te.upf
As 74.92 As.upf
CELL_PARAMETERS angstrom
-2.165 2.165 3.621
2.165 -2.165 3.621
2.165 2.165 -3.621
ATOMIC_POSITIONS crystal
Cu 0.250 0.750 0.500
Cu 0.750 0.250 0.500
Te 0.000 0.000 0.000
As 0.500 0.500 0.000
```

VASP calculation (PBEsol) on a relaxed structure of AsPtRh2. Values from VASP.

- Symmetry: R3m, No. 160
- Energy: -7.051 eV per atom

```
&SYSTEM
  ibrav = 0, nat = 4, ntyp = 3
/
ATOMIC_SPECIES
As 74.92 As.upf
Pt 195.08 Pt.upf
Rh 102.91 Rh.upf
CELL_PARAMETERS angstrom
1.415 0.817 8.350
-1.415 0.817 8.350
0.000 -1.634 8.350
ATOMIC_POSITIONS crystal
As 0.000 0.000 0.000
Pt 0.750 0.750 0.750
Rh 0.258 0.258 0.258
Rh 0.505 0.505 0.505
```

VASP calculation (PBEsol) on a relaxed structure of Ni3Rh2. Values from VASP.

- Symmetry: Immm, No. 71
- Energy above the lowest structure with this stoichiometry: 0 meV per atom

```
&SYSTEM
  ibrav = 0, nat = 5, ntyp = 2
/
ATOMIC_SPECIES
Ni 58.69 Ni.upf
Rh 102.91 Rh.upf
CELL_PARAMETERS angstrom
-1.296 1.765 6.413
1.296 -1.765 6.413
1.296 1.765 -6.413
ATOMIC_POSITIONS crystal
Ni 0.000 0.000 0.000
Ni 0.202 0.202 0.000
Ni 0.798 0.798 0.000
Rh 0.398 0.398 0.000
Rh 0.602 0.602 0.000
```

VASP calculation (PBEsol) on a relaxed structure of TaBrF2. Values from VASP.

- Symmetry: I4_1/amd, No. 141
- Formation energy without anion corrections: -1375.5 meV/atom

```
&SYSTEM
  ibrav = 0, nat = 8, ntyp = 3
/
ATOMIC_SPECIES
Ta 180.95 Ta.upf
Br 79.90 Br.upf
F 19.00 F.upf
CELL_PARAMETERS angstrom
-2.209 2.209 6.847
2.209 -2.209 6.847
2.209 2.209 -6.847
ATOMIC_POSITIONS crystal
Ta 0.375 0.625 0.750
Ta 0.625 0.375 0.250
Br 0.125 0.875 0.250
Br 0.875 0.125 0.750
F 0.000 0.500 0.500
F 0.500 0.000 0.000
F 0.500 0.500 0.000
F 0.500 0.500 0.500
```

VASP calculation (PBEsol) on a relaxed structure of TlSi3Ag. Values from VASP.

- Symmetry: Pm-3m, No. 221
- Formation energy without anion corrections: 925.7 meV/atom

```
&SYSTEM
  ibrav = 0, nat = 5, ntyp = 3
/
ATOMIC_SPECIES
Tl 204.38 Tl.upf
Si 28.09 Si.upf
Ag 107.87 Ag.upf
CELL_PARAMETERS angstrom
4.852 0.000 0.000
0.000 4.852 0.000
0.000 0.000 4.852
ATOMIC_POSITIONS crystal
Tl 0.000 0.000 0.000
Si 0.000 0.500 0.500
Si 0.500 0.000 0.500
Si 0.500 0.500 0.000
Ag 0.500 0.500 0.500
```

VASP calculation (PBEsol) on a relaxed structure of NbRe3Bi. Values from VASP.

- Symmetry: Pm-3m, No. 221
- Energy: -7.863 eV per atom

```
&SYSTEM
  ibrav = 0, nat = 5, ntyp = 3
/
ATOMIC_SPECIES
Nb 92.91 Nb.upf
Re 186.21 Re.upf
Bi 208.98 Bi.upf
CELL_PARAMETERS angstrom
4.807 0.000 0.000
0.000 4.807 0.000
0.000 0.000 4.807
ATOMIC_POSITIONS crystal
Nb 0.000 0.000 0.000
Re 0.000 0.500 0.500
Re 0.500 0.000 0.500
Re 0.500 0.500 0.000
Bi 0.500 0.500 0.500
```

VASP calculation (PBEsol) on a relaxed structure of La4Nd4S4O7. Values from VASP.

- Symmetry: Cm, No. 8
- Formation energy without anion corrections: -2989.9 meV/atom

```
&SYSTEM
  ibrav = 0, nat = 19, ntyp = 4
/
ATOMIC_SPECIES
La 138.91 La.upf
Nd 144.24 Nd.upf
S 32.06 S.upf
O 16.00 O.upf
CELL_PARAMETERS angstrom
6.807 -3.975 0.000
6.807 3.975 0.000
-6.807 0.000 6.891
ATOMIC_POSITIONS crystal
La 0.000 0.000 0.000
La 0.505 0.505 0.012
La 0.506 0.986 0.493
La 0.986 0.506 0.493
Nd 0.105 0.105 0.666
Nd 0.112 0.613 0.166
Nd 0.613 0.112 0.166
Nd 0.613 0.613 0.667
S 0.310 0.310 0.336
S 0.310 0.802 0.833
S 0.802 0.310 0.833
S 0.810 0.810 0.330
O 0.282 0.788 0.166
O 0.323 0.323 0.992
O 0.324 0.833 0.504
O 0.787 0.787 0.670
O 0.788 0.282 0.166
O 0.822 0.822 0.998
O 0.833 0.324 0.504
```

VASP calculation (PBEsol) on a relaxed structure of CuAs2SeO. Values from VASP.

- Symmetry: P4/mmm, No. 123
- Formation energy without anion corrections: 1002.9 meV/atom

```
&SYSTEM
  ibrav = 0, nat = 5, ntyp = 4
/
ATOMIC_SPECIES
Cu 63.55 Cu.upf
As 74.92 As.upf
Se 78.96 Se.upf
O 16.00 O.upf
CELL_PARAMETERS angstrom
4.574 0.000 0.000
0.000 4.574 0.000
0.000 0.000 4.645
ATOMIC_POSITIONS crystal
Cu 0.000 0.000 0.000
As 0.000 0.500 0.000
As 0.500 0.000 0.000
Se 0.000 0.000 0.500
O 0.500 0.500 0.500
```

Density of states at the Fermi level, respectively: 0.521 0.313 0.777 0.927 0.480 1.387 2.014 0.422 0.530 0.863 0.014 0.781 states/eV/atom.